Entry 1:
A plane-wave DFT calculation with GGA-PBE was carried out for LiTiAl after structural relaxation.

a b c (Å): 9.1497 4.1035 5.6436
angles (deg): 90.00 114.53 90.00
Space group Cm (No. 8)
Inequivalent atoms, fractional coordinates:
Li: 0.0000 0.0000 0.0000
Li: 0.1449 0.5000 0.2785
Ti: 0.3263 0.0000 0.6349
Ti: 0.4951 0.5000 0.4981
Al: 0.1744 0.5000 0.7960
Al: 0.3175 0.0000 0.1379

calculated volume	16.06	Å³/atom
calculated total energy	-4.55	eV/atom
total magnetization	0.000	Bohr magnetons per cell
polymorph energy (0 for the lowest one)	171	meV per atom



Entry 2:
A plane-wave DFT calculation with GGA-PBE was carried out for Pm4Nd5Ni2 after structural relaxation.

a b c (Å): 8.9797 3.6425 10.3369
angles (deg): 90.00 96.79 90.00
Space group P2/m (No. 10)
Inequivalent atoms, fractional coordinates:
Pm: 0.1795 0.0000 0.3142
Pm: 0.1900 0.0000 0.9525
Nd: 0.1536 0.5000 0.6380
Nd: 0.4757 0.5000 0.1687
Nd: 0.5000 0.5000 0.5000
Ni: 0.0571 0.5000 0.1216

calculated volume	30.52	Å³/atom
calculated total energy	-4.99	eV/atom
total magnetization	0.000	Bohr magnetons per cell



Entry 3:
A plane-wave DFT calculation with GGA-PBE was carried out for EuMgTl2 after structural relaxation.

a b c (Å): 3.7640 3.7640 7.7677
angles (deg): 90.00 90.00 90.00
Space group P4/mmm (No. 123)
Inequivalent atoms, fractional coordinates:
Eu: 0.0000 0.0000 0.0000
Mg: 0.0000 0.0000 0.5000
Tl: 0.5000 0.5000 0.2805

calculated volume	27.51	Å³/atom
calculated total energy	-4.41	eV/atom
total magnetization	7.093	Bohr magnetons per cell